(1)
# YCo3As | the Alexandria database | GGA-PBE | optimized geometry
# ΔE_f: 1707.5 meV/atom
# excess energy over the best structure of this formula in the dataset: 1.668 eV per atom
data_YCo3As
_space_group_name_H-M_alt 'P m -3 m'
_space_group_IT_number 221
_space_group_name_Hall '-P 4 2 3'
_cell_length_a 4.6495
_cell_length_b 4.6495
_cell_length_c 4.6495
_cell_angle_alpha 90.00
_cell_angle_beta 90.00
_cell_angle_gamma 90.00
loop_
_atom_site_label
_atom_site_type_symbol
_atom_site_fract_x
_atom_site_fract_y
_atom_site_fract_z
Y1 Y 0.0000 0.0000 0.0000
Co1 Co 0.0000 0.0000 0.5000
As1 As 0.5000 0.5000 0.5000

(2)
# Rb2BeCO4 | the Alexandria database | GGA-PBE | optimized geometry
# energy relative to the elements, uncorrected: -1787 meV per atom
data_Rb2BeCO4
_space_group_name_H-M_alt 'F d d d'
_space_group_IT_number 70
_cell_length_a 4.1796
_cell_length_b 11.2956
_cell_length_c 20.4346
_cell_angle_alpha 90.00
_cell_angle_beta 90.00
_cell_angle_gamma 90.00
loop_
_space_group_symop_operation_xyz
'x,y,z'
'-x,-y,-z'
'-x+1/4,-y+1/4,z'
'x+1/4,y+1/4,-z'
'x,-y+1/4,-z+1/4'
'-x,y+1/4,z+1/4'
'-x+1/4,y,-z+1/4'
'x+1/4,-y,z+1/4'
'x,y+1/2,z+1/2'
'-x,-y+1/2,-z+1/2'
'-x+1/4,-y+3/4,z+1/2'
'x+1/4,y+3/4,-z+1/2'
'x,-y+3/4,-z+3/4'
'-x,y+3/4,z+3/4'
'-x+1/4,y+1/2,-z+3/4'
'x+1/4,-y+1/2,z+3/4'
'x+1/2,y,z+1/2'
'-x+1/2,-y,-z+1/2'
'-x+3/4,-y+1/4,z+1/2'
'x+3/4,y+1/4,-z+1/2'
'x+1/2,-y+1/4,-z+3/4'
'-x+1/2,y+1/4,z+3/4'
'-x+3/4,y,-z+3/4'
'x+3/4,-y,z+3/4'
'x+1/2,y+1/2,z'
'-x+1/2,-y+1/2,-z'
'-x+3/4,-y+3/4,z'
'x+3/4,y+3/4,-z'
'x+1/2,-y+3/4,-z+1/4'
'-x+1/2,y+3/4,z+1/4'
'-x+3/4,y+1/2,-z+1/4'
'x+3/4,-y+1/2,z+1/4'
loop_
_atom_site_label
_atom_site_type_symbol
_atom_site_fract_x
_atom_site_fract_y
_atom_site_fract_z
Rb1 Rb 0.1250 0.1250 0.2972
Be1 Be 0.1250 0.1250 0.1250
C1 C 0.1250 0.1250 0.6250
O1 O 0.0879 0.3051 0.8368

(3)
# Al2InRu | the Alexandria database | GGA-PBE | optimized geometry
# ΔE_f: 118.9 meV/atom
data_Al2InRu
_space_group_name_H-M_alt 'F -4 3 m'
_space_group_IT_number 216
_space_group_name_Hall 'F -4 2 3'
_cell_length_a 6.3990
_cell_length_b 6.3990
_cell_length_c 6.3990
_cell_angle_alpha 90.00
_cell_angle_beta 90.00
_cell_angle_gamma 90.00
loop_
_atom_site_label
_atom_site_type_symbol
_atom_site_fract_x
_atom_site_fract_y
_atom_site_fract_z
Al1 Al 0.0000 0.0000 0.0000
Al2 Al 0.2500 0.2500 0.2500
In1 In 0.0000 0.0000 0.5000
Ru1 Ru 0.2500 0.2500 0.7500

(4)
# LuRh3 | the Alexandria database | GGA-PBE | optimized geometry
# ΔE_f: -577.2 meV/atom
data_LuRh3
_space_group_name_H-M_alt 'C 1 2/m 1'
_space_group_IT_number 12
_cell_length_a 9.0258
_cell_length_b 5.2087
_cell_length_c 9.2299
_cell_angle_alpha 90.00
_cell_angle_beta 108.89
_cell_angle_gamma 90.00
loop_
_space_group_symop_operation_xyz
'x,y,z'
'-x,-y,-z'
'-x,y,-z'
'x,-y,z'
'x+1/2,y+1/2,z'
'-x+1/2,-y+1/2,-z'
'-x+1/2,y+1/2,-z'
'x+1/2,-y+1/2,z'
loop_
_atom_site_label
_atom_site_type_symbol
_atom_site_fract_x
_atom_site_fract_y
_atom_site_fract_z
Lu1 Lu 0.0000 0.0000 0.0000
Lu2 Lu 0.1389 0.0000 0.4170
Rh1 Rh 0.0000 0.5000 0.5000
Rh2 Rh 0.0832 0.5000 0.2493
Rh3 Rh 0.1672 0.2489 0.7499
Rh4 Rh 0.1672 0.5000 0.0002